Entry 1:
# LiS2O | Alexandria | PBE | optimized geometry
data_LiS2O
_chemical_formula_sum 'Li3 S6 O3'
_cell_length_a 2.9676
_cell_length_b 2.9676
_cell_length_c 23.0446
_cell_angle_alpha 90.00
_cell_angle_beta 90.00
_cell_angle_gamma 120.00
_space_group_name_H-M_alt 'R -3 m'
_space_group_IT_number 166
_space_group_name_Hall '-R 3 2"'
loop_
_atom_site_label
_atom_site_type_symbol
_atom_site_fract_x
_atom_site_fract_y
_atom_site_fract_z
Li1 Li 0.0000 0.0000 0.0000
S1 S 0.0000 0.0000 0.0992
O1 O 0.0000 0.0000 0.5000
# E_form (uncorrected) ... 66.1 kJ per mole of atoms
# Spin magnetization ... 0.00 μB/atom
# Final energy ... -3.097 eV/atom

Entry 2:
# TaTiTcIr | Alexandria | PBE | optimized geometry
data_TaTiTcIr
_chemical_formula_sum 'Ta4 Ti4 Tc4 Ir4'
_cell_length_a 6.3004
_cell_length_b 6.3004
_cell_length_c 6.3004
_cell_angle_alpha 90.00
_cell_angle_beta 90.00
_cell_angle_gamma 90.00
_space_group_name_H-M_alt 'F -4 3 m'
_space_group_IT_number 216
_space_group_name_Hall 'F -4 2 3'
loop_
_atom_site_label
_atom_site_type_symbol
_atom_site_fract_x
_atom_site_fract_y
_atom_site_fract_z
Ta1 Ta 0.0000 0.0000 0.0000
Ti1 Ti 0.0000 0.0000 0.5000
Tc1 Tc 0.2500 0.2500 0.7500
Ir1 Ir 0.2500 0.2500 0.2500
# Energy relative to the elements ... -0.62 eV per atom
# Spin magnetization ... 0.00 μB/atom
# Final energy ... -10.366 eV/atom